Arrangement i

This record from Alexandria via LeMat-Bulk describes a crystal of IrRu2Br relaxed with PBEsol. The functional is SCAN.

extended XYZ file:
```
4
Lattice="2.784 0.000 0.000 0.000 2.784 0.000 0.000 0.000 7.759" Properties=species:S:1:pos:R:3 pbc="T T T"
Ir 0.000 0.000 0.000
Ru 0.000 0.000 3.551
Ru 1.392 1.392 1.788
Br 1.392 1.392 5.403
```

Arrangement ii

This record from Alexandria via LeMat-Bulk describes a crystal of IrRu2Br relaxed with PBEsol. The functional is SCAN.

extended XYZ file:
```
4
Lattice="-2.040 2.040 3.513 2.040 -2.040 3.513 2.040 2.040 -3.513" Properties=species:S:1:pos:R:3 pbc="T T T"
Ir 0.000 0.000 0.000
Ru 2.040 0.000 1.757
Ru 0.000 2.040 1.757
Br 0.000 0.000 3.513
```

Arrangement iii

This record from Alexandria via LeMat-Bulk describes a crystal of IrRu2Br relaxed with PBEsol. The functional is SCAN.

extended XYZ file:
```
4
Lattice="2.779 0.000 0.000 0.000 4.594 0.000 0.000 0.000 4.643" Properties=species:S:1:pos:R:3 pbc="T T T"
Ir 0.000 0.000 0.000
Ru 0.000 2.297 2.321
Ru 1.390 2.297 0.000
Br 1.390 0.000 2.321
```

Arrangement iv

This record from Alexandria via LeMat-Bulk describes a crystal of IrRu2Br relaxed with PBEsol. The functional is SCAN.

extended XYZ file:
```
4
Lattice="4.831 -1.412 0.000 4.831 1.412 0.000 -0.299 0.000 4.389" Properties=species:S:1:pos:R:3 pbc="T T T"
Ir 0.000 0.000 0.000
Ru 2.388 0.000 3.445
Ru 5.200 0.000 2.352
Br 7.416 0.000 1.266
```

According to the calculations, the structures order from most to least stable as arrangement i, arrangement iv, arrangement ii, arrangement iii.

Arrangement i

This record from Alexandria via LeMat-Bulk describes a crystal of ScIrBr2 relaxed with PBEsol. The functional is SCAN.

extended XYZ file:
```
4
Lattice="3.138 0.000 0.000 0.000 3.138 0.000 0.000 0.000 8.569" Properties=species:S:1:pos:R:3 pbc="T T T"
Sc 0.000 0.000 0.000
Ir 1.569 1.569 1.664
Br 0.000 0.000 3.507
Br 1.569 1.569 6.771
```

Arrangement ii

This record from Alexandria via LeMat-Bulk describes a crystal of ScIrBr2 relaxed with PBEsol. The functional is SCAN.

extended XYZ file:
```
4
Lattice="1.607 0.928 9.093 -1.607 0.928 9.093 0.000 -1.855 9.093" Properties=species:S:1:pos:R:3 pbc="T T T"
Sc 0.000 0.000 0.000
Ir 0.000 0.000 13.640
Br 0.000 0.000 7.240
Br 0.000 0.000 20.039
```

According to the calculations, the structures order from most to least stable as arrangement i, arrangement ii.

Arrangement i

This record from Alexandria via LeMat-Bulk describes a crystal of Sc2IrBr relaxed with PBEsol. The functional is SCAN.

extended XYZ file:
```
4
Lattice="-1.884 1.884 5.149 1.884 -1.884 5.149 1.884 1.884 -5.149" Properties=species:S:1:pos:R:3 pbc="T T T"
Sc 0.000 0.000 0.000
Sc 0.000 1.884 2.574
Ir 1.884 0.000 2.574
Br 0.000 0.000 5.149
```

Arrangement ii

This record from Alexandria via LeMat-Bulk describes a crystal of Sc2IrBr relaxed with PBEsol. The functional is SCAN.

extended XYZ file:
```
4
Lattice="1.884 1.088 7.013 -1.884 1.088 7.013 0.000 -2.175 7.013" Properties=species:S:1:pos:R:3 pbc="T T T"
Sc 0.000 0.000 4.874
Sc 0.000 0.000 16.165
Ir 0.000 0.000 10.519
Br 0.000 0.000 0.000
```

According to the calculations, the structures order from most to least stable as arrangement ii, arrangement i.